# 1
A plane-wave DFT calculation with PBEsol was carried out for a geometry-optimized Ni2TeIr structure.

```
4
Lattice="-1.190 -3.003 0.102 1.287 -0.609 -2.901 4.538 -1.717 2.374" Properties=species:S:1:pos:R:3 pbc="T T T"
Ni 3.360 -1.271 1.758
Ni 1.179 -0.446 0.617
Te 0.049 -1.806 -1.399
Ir 2.318 -2.665 -0.212
```

Output
Its uncorrected formation energy is 0.27 eV per atom. The energy above the most stable polymorph in this dataset is 42 meV/atom. The magnetic moment is 0.000 μB per atom.

=====

# 2
A plane-wave DFT calculation with PBEsol was carried out for a geometry-optimized TmCrB4 structure.

```
24
Lattice="3.360 0.000 0.000 0.000 5.854 0.000 0.000 0.000 11.310" Properties=species:S:1:pos:R:3 pbc="T T T"
Tm 0.000 2.195 7.358
Tm 0.000 5.122 9.608
Tm 0.000 3.659 3.952
Tm 0.000 0.732 1.703
B 1.680 4.205 7.743
B 1.680 0.796 10.940
B 1.680 5.058 0.370
B 1.680 1.278 9.223
B 1.680 1.649 3.568
B 1.680 0.666 6.189
B 1.680 4.576 2.088
B 1.680 2.131 5.285
B 1.680 2.782 2.178
B 1.680 0.145 7.833
B 1.680 3.593 10.777
B 1.680 5.188 5.122
B 1.680 3.072 9.133
B 1.680 5.710 3.478
B 1.680 2.261 0.533
B 1.680 3.723 6.025
Cr 0.000 2.208 10.408
Cr 0.000 3.646 0.902
Cr 0.000 5.136 6.557
Cr 0.000 0.719 4.753
```

Output
The final energy comes out at -191.07 eV/cell. The magnetic moment is 0.000 μB per atom.

=====

# 3
A plane-wave DFT calculation with PBEsol was carried out for a geometry-optimized FeCo structure.

```
8
Lattice="2.786 0.000 0.000 0.000 3.941 0.000 0.000 0.000 7.896" Properties=species:S:1:pos:R:3 pbc="T T T"
Co 0.000 0.000 5.919
Co 0.000 0.000 1.977
Co 1.393 0.000 0.000
Co 0.000 1.971 0.000
Fe 1.393 1.971 1.957
Fe 0.000 1.971 3.948
Fe 1.393 0.000 3.948
Fe 1.393 1.971 5.939
```

Output
The final energy comes out at -66.55 eV/cell. The magnetic moment is 2.128 μB per atom.

=====

# 4
A plane-wave DFT calculation with PBEsol was carried out for a geometry-optimized GaAsP2N structure.

```
5
Lattice="4.228 0.000 0.000 0.000 4.132 0.000 0.000 0.000 4.132" Properties=species:S:1:pos:R:3 pbc="T T T"
P 0.000 0.000 2.066
P 0.000 2.066 0.000
Ga 2.114 0.000 0.000
As 2.114 2.066 2.066
N 0.000 0.000 0.000
```

Output
Its uncorrected formation energy is 0.65 eV per atom. The magnetic moment is 0.000 μB per atom.

=====

# 5
A plane-wave DFT calculation with PBEsol was carried out for a geometry-optimized Eu2MoW2O12 structure.

```
34
Lattice="-0.147 0.493 -6.906 -4.986 -4.166 2.396 -4.147 10.197 2.950" Properties=species:S:1:pos:R:3 pbc="T T T"
Eu -3.952 2.382 0.922
Eu -4.475 -2.130 -1.611
Eu -4.805 8.656 0.051
Eu -5.329 4.143 -2.481
O -7.789 4.418 1.100
O -5.868 2.545 2.454
O -6.966 5.673 -1.812
O -6.927 2.396 -1.939
O -3.316 -1.657 0.446
O -3.684 6.629 0.374
O -3.337 5.417 -2.023
O -5.215 4.265 -0.010
O -4.745 8.922 2.464
O -5.575 5.271 2.679
O -4.536 -2.397 -4.024
O -5.597 -0.104 -1.934
O -0.901 0.232 -4.585
O -3.706 1.254 -4.239
O -5.943 1.108 0.464
O -2.315 0.853 0.253
O -8.380 6.293 3.025
O -5.965 8.182 -2.006
O -1.492 2.107 -2.660
O -2.354 4.129 0.379
O -6.527 6.986 0.670
O -4.066 2.260 -1.550
O -2.754 -0.460 -2.230
O -3.412 3.981 -4.014
W -7.595 7.265 -2.351
W -6.916 0.824 -1.146
W -1.685 -0.740 0.791
W -2.365 5.701 -0.413
Mo -3.024 1.271 -2.631
Mo -6.256 5.254 1.071
```

Output
Its uncorrected formation energy is -2.36 eV per atom. The magnetic moment is 0.706 μB per atom.

=====

# 6
A plane-wave DFT calculation with PBEsol was carried out for a geometry-optimized Be3Fe5 structure.

```
8
Lattice="-2.858 1.622 1.084 -0.899 -3.572 2.976 2.615 2.659 2.918" Properties=species:S:1:pos:R:3 pbc="T T T"
Be -1.497 -1.289 3.504
Be 0.858 -0.457 2.947
Be 0.356 1.997 3.474
Fe 0.000 0.000 0.000
Fe -0.966 0.564 2.133
Fe -0.176 0.144 4.845
Fe -0.449 -1.786 1.488
Fe 1.307 1.329 1.459
```

Output
The energy above the most stable polymorph in this dataset is 43 meV/atom. The magnetic moment is 1.245 μB per atom.

=====

# 7
A plane-wave DFT calculation with PBEsol was carried out for a geometry-optimized Tl2ReTc structure.

```
4
Lattice="-1.959 -0.662 -4.145 2.428 -3.909 -0.524 -2.658 0.590 3.750" Properties=species:S:1:pos:R:3 pbc="T T T"
Tl 0.002 -2.802 0.446
Tl -2.191 -1.178 -1.364
Tc 0.000 0.000 0.000
Re 0.235 -2.285 -2.334
```

Output
The energy above the most stable polymorph in this dataset is 67 meV/atom. The magnetic moment is 0.403 μB per atom.

=====

# 8
A plane-wave DFT calculation with PBEsol was carried out for a geometry-optimized K2HgRu structure.

```
4
Lattice="-1.465 -1.091 2.126 5.122 -0.212 3.421 -1.171 5.673 2.105" Properties=species:S:1:pos:R:3 pbc="T T T"
Ru 1.243 2.185 3.826
K 2.561 -0.106 1.710
K -0.586 2.837 1.052
Hg -0.732 -0.546 1.063
```

Output
The final energy comes out at -9.29 eV/cell. The magnetic moment is 0.160 μB per atom.

=====

no.,Fermi-level density of states (states/eV/f.u.)
1,6.559
2,0.039
3,1.775
4,2.440
5,28.978
6,5.372
7,5.668
8,4.737